Record 1
Material: La2Cu3NiGe4
Method: DFT, GGA-PBE
State: relaxed

Structure (POSCAR):
```
La2Cu3NiGe4
1.0
-3.4948 0.5701 -2.4009
0.4294 -3.9585 -1.5649
-5.6547 -3.5355 7.3915
Ge Ni La Cu
4 1 2 3
Cartesian
-1.5327 -1.6942 -1.9829 Ge
-1.9215 -3.3149 2.0099 Ge
-5.2659 -1.9148 3.3988 Ge
0.0000 0.0000 0.0000 Ge
-4.3601 -3.4620 1.7129 Ni
-3.9914 -4.6090 4.7155 La
-3.1960 -0.6207 0.6931 La
-2.8274 -1.7678 3.6958 Cu
-0.5209 -2.4392 0.1791 Cu
-6.6665 -2.7905 5.2295 Cu
```

- SG = P-4m2, No. 115
- crystal system = tetragonal
- energy relative to the elements (kJ/mol of atoms) = -54.3

---

Record 2
Material: DyMg4Cd
Method: DFT, GGA-PBE
State: relaxed

Structure (POSCAR):
```
DyMg4Cd
1.0
-0.8054 4.3452 -0.0244
-0.0378 -0.0511 -7.8377
-8.3212 -1.5420 0.0502
Mg Dy Cd
8 2 2
Cartesian
-4.1961 1.4394 -5.3625 Mg
-6.6792 0.9679 -7.3655 Mg
-8.3426 0.6874 -2.4291 Mg
-0.8217 2.0647 -5.3828 Mg
-4.9683 1.3127 -2.4495 Mg
-4.1606 -0.7710 0.0251 Mg
-2.4851 1.7842 -0.4464 Mg
0.0000 0.0000 0.0000 Mg
-6.2646 -1.1885 -4.8677 Dy
-2.0944 -0.4046 -2.9198 Dy
-6.2496 -1.1683 -1.7667 Cd
-2.1094 -0.4248 -6.0208 Cd
```

- SG = Pmma, No. 51
- crystal system = orthorhombic
- polymorph energy (0 for the lowest one) (eV per atom) = 0.000
- energy relative to the elements (kJ/mol of atoms) = -6.6

---

Record 3
Material: Gd2DyP
Method: DFT, GGA-PBE
State: relaxed

Structure (POSCAR):
```
Gd2DyP
1.0
-2.7192 1.7219 -2.0679
-1.8932 -1.9624 -2.6832
-7.9996 -2.5980 4.8172
P Gd Dy
1 2 1
Cartesian
0.0000 0.0000 0.0000 P
-2.6888 -0.5288 -0.4432 Gd
-9.9231 -2.3098 0.5094 Gd
-6.3060 -1.4193 0.0331 Dy
```

- SG = R-3m, No. 166
- crystal system = trigonal
- energy relative to the elements (kJ/mol of atoms) = -64.1

---

Record 4
Material: OsSe2Cl
Method: DFT, GGA-PBE
State: relaxed

Structure (POSCAR):
```
OsSe2Cl
1.0
2.3357 -0.7869 3.8486
-1.3132 1.9640 3.9121
-1.8536 -2.5354 3.3201
Cl Se Os
1 2 1
Cartesian
0.0000 0.0000 0.0000 Cl
-0.2078 -0.3396 2.7702 Se
-0.6233 -1.0187 8.3106 Se
-0.4155 -0.6792 5.5404 Os
```

- SG = Fm-3m, No. 225
- crystal system = cubic
- polymorph energy (0 for the lowest one) (eV per atom) = 0.790
- ΔE_f (raw) (meV/atom) = 782

---

Record 5
Material: KSrS2N
Method: DFT, GGA-PBE
State: relaxed

Structure (POSCAR):
```
KSrS2N
1.0
5.5635 0.0000 0.0000
0.0000 5.5635 0.0000
0.0000 0.0000 4.8119
Sr S N K
1 2 1 1
Cartesian
2.7818 2.7818 2.4060 Sr
0.0000 2.7818 0.0000 S
2.7818 0.0000 0.0000 S
0.0000 0.0000 2.4060 N
0.0000 0.0000 0.0000 K
```

- SG = P4/mmm, No. 123
- crystal system = tetragonal
- polymorph energy (0 for the lowest one) (eV per atom) = 0.368
- ΔE_f (raw) (meV/atom) = 499

---

Record 6
Material: HoAl4Rh
Method: DFT, GGA-PBE
State: relaxed

Structure (POSCAR):
```
HoAl4Rh
1.0
3.0229 4.8909 4.4820
-2.5923 6.2733 -2.6595
-3.8482 -5.8983 1.8840
Ho Al Rh
2 8 2
Cartesian
0.2153 5.5821 0.9112 Ho
0.0000 0.0000 0.0000 Ho
-2.2395 3.7374 1.2884 Al
0.8138 3.3461 2.9639 Al
-1.1781 1.5286 2.4180 Al
-1.3494 3.1578 4.6283 Al
-2.0682 2.1081 -0.9218 Al
-4.2314 1.9198 0.7426 Al
0.4937 1.1170 4.5442 Al
-3.9113 4.1490 -0.8378 Al
0.1077 2.7911 0.4556 Rh
0.3230 8.3732 1.3668 Rh
```

- SG = I4/mcm, No. 140
- crystal system = tetragonal
- energy relative to the elements (kJ/mol of atoms) = -37.2

---

Record 7
Material: VCdGa2
Method: DFT, GGA-PBE
State: relaxed

Structure (POSCAR):
```
VCdGa2
1.0
-2.6196 6.6100 1.0640
-6.5512 -2.2952 -1.8710
-5.1355 1.4995 2.3296
V Ga Cd
2 4 2
Cartesian
-4.5854 2.1574 -0.4035 V
-8.1360 0.6809 0.0275 V
-11.7962 4.9281 1.0639 Ga
-3.7081 4.1386 1.0005 Ga
-7.3706 2.7147 1.4217 Ga
-5.7378 -0.1527 -0.4410 Ga
0.0000 0.0000 0.0000 Cd
-6.1703 5.1334 1.4950 Cd
```

- SG = I-42d, No. 122
- crystal system = tetragonal
- energy relative to the elements (kJ/mol of atoms) = 36.4

---

Record 8
Material: SrC2Br2
Method: DFT, GGA-PBE
State: relaxed

Structure (POSCAR):
```
SrC2Br2
1.0
5.6361 0.0000 0.0000
0.0000 5.6361 0.0000
2.8181 2.8181 3.4932
C Br Sr
2 2 1
Cartesian
5.6361 5.6361 2.8399 C
2.8181 2.8181 0.6534 C
5.6361 2.8181 1.7466 Br
2.8181 5.6361 1.7466 Br
0.0000 0.0000 0.0000 Sr
```

- SG = I4/mmm, No. 139
- crystal system = tetragonal
- polymorph energy (0 for the lowest one) (eV per atom) = 0.000
- ΔE_f (raw) (meV/atom) = 333

---

Record 9
Material: Gd2PbO
Method: DFT, GGA-PBE
State: relaxed

Structure (POSCAR):
```
Gd2PbO
1.0
-2.1299 2.4046 -0.4398
-2.0789 -1.4750 2.0037
3.1389 3.9014 6.1288
Pb Gd O
1 2 1
Cartesian
-0.5349 2.4155 3.8463 Pb
0.6164 0.7661 1.2035 Gd
2.5225 3.1353 4.9252 Gd
-2.1044 0.4648 0.7819 O
```

- SG = P4/mmm, No. 123
- crystal system = tetragonal
- polymorph energy (0 for the lowest one) (eV per atom) = 0.422
- ΔE_f (raw) (meV/atom) = -1160

---

Record 10
Material: TbEr6Tm8
Method: DFT, GGA-PBE
State: relaxed

Structure (POSCAR):
```
TbEr6Tm8
1.0
-4.9610 3.1118 -2.5682
-5.6983 -6.7342 2.8477
1.7070 7.2624 5.5022
Er Tm Tb
6 8 1
Cartesian
-2.3109 5.6820 4.8174 Er
-4.1966 2.2957 4.3569 Er
-4.7556 1.3443 1.4248 Er
-6.6414 -2.0420 0.9643 Er
-7.0704 -0.0023 4.2644 Er
-1.8819 3.6423 1.5172 Er
0.5645 5.1195 3.6055 Tm
-4.0458 -1.5569 3.3102 Tm
-6.3725 0.7216 -1.2306 Tm
-4.9065 5.1969 2.4715 Tm
-9.5168 -1.4794 2.1762 Tm
-7.2744 3.0036 3.2767 Tm
-1.6778 0.6364 2.5049 Tm
-2.5797 2.9184 7.0123 Tm
-2.4805 1.5559 -1.2841 Tb
```

- SG = P-3, No. 147
- crystal system = trigonal
- polymorph energy (0 for the lowest one) (eV per atom) = 0.110
- energy relative to the elements (kJ/mol of atoms) = 23.6

---

Record 11
Material: TbSmMg2
Method: DFT, GGA-PBE
State: relaxed

Structure (POSCAR):
```
TbSmMg2
1.0
5.4038 0.0000 0.0000
2.7019 4.6798 0.0000
2.7019 1.5599 4.4122
Sm Mg Tb
1 2 1
Cartesian
0.0000 0.0000 0.0000 Sm
8.1057 4.6798 3.3091 Mg
2.7019 1.5599 1.1030 Mg
5.4038 3.1199 2.2061 Tb
```

- SG = Fm-3m, No. 225
- crystal system = cubic
- polymorph energy (0 for the lowest one) (eV per atom) = 0.000
- energy relative to the elements (kJ/mol of atoms) = -9.5

---

Record 12
Material: AcLa5Sm2Y
Method: DFT, GGA-PBE
State: relaxed

Structure (POSCAR):
```
AcLa5Sm2Y
1.0
-9.2175 -1.7869 0.4458
1.7289 -7.6122 5.2362
3.2308 8.9217 3.4665
Sm Ac La Y
4 2 10 2
Cartesian
-2.0422 -7.4544 4.8236 Sm
-0.3599 -3.1545 2.0823 Sm
-7.1286 -6.2446 3.5997 Sm
-5.4463 -1.9448 0.8584 Sm
-4.0010 -2.5885 5.9948 Ac
-0.2567 2.1111 3.1538 Ac
-2.5359 -0.9770 2.8166 La
-3.7443 -4.6996 2.8410 La
-3.4809 4.1323 3.7571 La
0.0000 0.0000 0.0000 La
-0.7769 -4.6097 5.3914 La
0.9601 5.7645 3.0261 La
-6.9768 -2.6092 3.5476 La
-5.2178 -6.2419 6.1225 La
-1.7219 0.4996 6.3319 La
2.7191 2.1318 5.6009 La
0.6077 -1.6951 5.7719 Y
-4.8655 1.2176 3.3766 Y
```

- SG = I4/mcm, No. 140
- crystal system = tetragonal
- energy relative to the elements (kJ/mol of atoms) = 24.2

---

Record 13
Material: CsCd3Sn
Method: DFT, GGA-PBE
State: relaxed

Structure (POSCAR):
```
CsCd3Sn
1.0
-3.3340 -4.9429 4.5050
-3.5297 -1.9424 -5.4297
4.8186 -4.6001 -1.4855
Cd Cs Sn
6 2 2
Cartesian
-1.8174 -4.4239 1.5443 Cd
0.1027 -9.6552 -0.4019 Cd
-0.5694 -8.8088 -3.3048 Cd
-2.6658 -6.8274 -2.6575 Cd
-2.5577 -7.1123 0.4238 Cd
0.0774 -7.6037 1.8063 Cd
0.5371 -1.5637 0.2729 Cs
1.0602 -5.5082 -1.4744 Cs
0.5790 -4.7839 -5.2902 Sn
-2.5461 -4.2840 -1.2869 Sn
```

- SG = P1, No. 1
- crystal system = triclinic
- polymorph energy (0 for the lowest one) (eV per atom) = 0.000
- energy relative to the elements (kJ/mol of atoms) = -5.2

---

Record 14
Material: Dy12Ho6Pu
Method: DFT, GGA-PBE
State: relaxed

Structure (POSCAR):
```
Dy12Ho6Pu
1.0
-8.7238 2.0655 2.5951
0.2384 -7.9785 -4.8366
5.6690 -0.4187 7.4022
Ho Dy Pu
6 12 1
Cartesian
-1.4383 -3.1965 0.0872 Ho
-1.3782 -3.1352 5.0735 Ho
-2.2789 -0.8298 2.5322 Ho
-0.5376 -5.5019 2.6286 Ho
-3.7337 -4.0632 2.6495 Ho
0.9172 -2.2685 2.5113 Ho
-4.5804 -1.6550 5.0855 Dy
1.8533 -4.5519 5.0425 Dy
-4.6698 -1.7797 0.1183 Dy
-5.5366 0.6211 2.5639 Dy
-6.1245 -4.9944 0.1725 Dy
-0.5887 -5.6174 -2.3898 Dy
-2.8894 -6.4192 0.1631 Dy
-2.2278 -0.7142 7.5505 Dy
0.0729 0.0876 4.9976 Dy
3.3080 -1.3373 4.9882 Dy
1.7639 -4.6767 0.0752 Dy
2.7201 -6.9528 2.5968 Dy
0.0000 0.0000 0.0000 Pu
```

- SG = R-3, No. 148
- crystal system = trigonal
- polymorph energy (0 for the lowest one) (eV per atom) = 0.000
- energy relative to the elements (kJ/mol of atoms) = 3.1

---

Record 15
Material: Sc2MnS
Method: DFT, GGA-PBE
State: relaxed

Structure (POSCAR):
```
Sc2MnS
1.0
1.9332 0.0000 8.3946
-0.9666 1.6742 8.3946
-0.9666 -1.6742 8.3946
Mn Sc S
1 2 1
Cartesian
0.0000 0.0000 12.5919 Mn
0.0000 0.0000 22.7654 Sc
0.0000 0.0000 2.4185 Sc
0.0000 0.0000 0.0000 S
```

- SG = R-3m, No. 166
- crystal system = trigonal
- ΔE_f (raw) (meV/atom) = 35

---

Record 16
Material: Mg2Cd2Cl7
Method: DFT, GGA-PBE
State: relaxed

Structure (POSCAR):
```
Mg2Cd2Cl7
1.0
-4.9797 -4.3190 -0.3746
5.0789 -4.8559 -2.2073
-0.3109 0.5304 7.3396
Cl Mg Cd
7 2 2
Cartesian
-1.4781 -5.0573 -0.6996 Cl
-3.3530 -3.1836 2.6215 Cl
3.1414 -5.4610 2.1362 Cl
0.0000 0.0000 0.0000 Cl
1.2664 -3.5873 5.4572 Cl
0.8837 -2.8343 2.0980 Cl
-1.0954 -5.8103 2.6597 Cl
-3.1693 -5.0069 1.0355 Mg
2.9577 -3.6377 3.7221 Mg
-1.1558 -3.2730 4.2386 Cd
0.9441 -5.3716 0.5190 Cd
```

- SG = C2/m, No. 12
- crystal system = monoclinic
- ΔE_f (raw) (meV/atom) = -1280

---

Record 17
Material: TbMg2Cd9
Method: DFT, GGA-PBE
State: relaxed

Structure (POSCAR):
```
TbMg2Cd9
1.0
-5.9477 -4.2270 -2.5757
-5.3957 -3.5250 6.6210
-7.7640 4.7716 -1.5259
Cd Mg Tb
18 4 2
Cartesian
-5.1370 0.7151 0.1402 Cd
-8.4831 -4.0163 1.8582 Cd
-5.9036 -3.2620 0.4756 Cd
-6.2163 -3.3739 3.5311 Cd
-13.4204 -3.3045 2.6174 Cd
-7.6303 1.5797 -1.3330 Cd
-7.9532 -2.0557 5.3785 Cd
-4.5667 -1.2831 2.1022 Cd
0.0000 0.0000 0.0000 Cd
-6.4740 -1.2638 -1.4865 Cd
-11.1743 0.6450 0.4230 Cd
-9.3672 2.8979 0.5143 Cd
-16.1573 -4.2209 2.4798 Cd
-9.4374 -0.6732 -1.4244 Cd
-13.9907 -1.3064 0.6554 Cd
-10.2200 -2.6980 3.7056 Cd
-11.0406 -2.5469 0.6158 Cd
-16.7277 -2.2227 0.5178 Cd
-11.1920 -5.1494 2.3305 Mg
-8.4942 -3.3869 -0.9800 Mg
-12.3762 -1.0011 -1.7429 Mg
-12.1001 -0.6501 2.8554 Mg
-8.0668 -0.4334 1.9036 Tb
-2.9739 -2.1135 -1.2879 Tb
```

- SG = I4_1/amd, No. 141
- crystal system = tetragonal
- energy relative to the elements (kJ/mol of atoms) = -8.7

---

Record 18
Material: NiHSe2
Method: DFT, GGA-PBE
State: relaxed

Structure (POSCAR):
```
NiHSe2
1.0
7.4114 0.0000 1.1623
2.3600 4.4487 -1.9061
-2.3600 4.4487 1.9061
Se H Ni
4 2 2
Cartesian
2.4111 5.4425 1.4518 Se
-1.0654 5.4425 1.0355 Se
5.0004 3.4549 -0.2895 Se
8.4768 3.4549 0.1268 Se
4.3786 2.6473 1.8248 H
3.0329 6.2501 -0.6625 H
4.3786 4.1163 1.8248 Ni
3.0329 4.7811 -0.6625 Ni
```

- SG = C2/c, No. 15
- crystal system = monoclinic
- polymorph energy (0 for the lowest one) (eV per atom) = 0.170

---

Record 19
Material: LiLaSmZn
Method: DFT, GGA-PBE
State: relaxed

Structure (POSCAR):
```
LiLaSmZn
1.0
-1.6362 -3.0487 1.5265
-0.6176 -1.4002 -3.4583
6.6361 -3.4545 0.2137
Li Zn Sm La
1 1 1 1
Cartesian
5.7661 -3.0017 0.1857 Li
2.2844 -1.1892 0.0736 Zn
-0.2795 -2.6656 -0.9386 Sm
2.7693 -4.2526 -0.8404 La
```

- SG = P4mm, No. 99
- crystal system = tetragonal
- polymorph energy (0 for the lowest one) (eV per atom) = 0.000
- energy relative to the elements (kJ/mol of atoms) = -11.5

---

Record 20
Material: InH2
Method: DFT, GGA-PBE
State: relaxed

Structure (POSCAR):
```
InH2
1.0
2.9428 0.0021 -0.3392
0.0320 6.5619 0.2359
-0.8219 -3.0159 4.9218
H In
4 2
Cartesian
1.9476 5.5427 0.9018 H
0.0079 0.7937 3.7884 H
0.0239 4.0734 3.9070 H
1.8427 -0.9406 1.4122 H
-0.1233 2.4628 2.8094 In
0.1380 -0.8757 4.7663 In
```

- SG = P1, No. 1
- crystal system = triclinic

---

no.,E (eV/atom),volume (A^3/atom),magnetic moment (μB/f.u.)
1,-5.2019,18.22,0.0
2,-2.0507,24.43,0.0
3,-10.2079,29.90,15.5
4,-4.2295,16.87,0.0
5,-3.3727,29.79,4.0
6,-4.8692,19.91,0.0
7,-3.6450,18.51,1.1
8,-4.3616,22.19,1.6
9,-10.3667,20.80,15.1
10,-4.2739,31.72,0.0
11,-3.2332,27.89,0.0
12,-4.7096,37.34,0.0
13,-1.5742,34.42,0.0
14,-5.0748,31.04,6.4
15,-6.4552,20.38,0.1
16,-2.9112,29.93,0.0
17,-1.4282,22.70,0.0
18,-3.9879,18.76,0.0
19,-3.3278,26.76,0.0
20,-2.9545,15.89,0.0